Record 1
A plane-wave DFT calculation with PBE was carried out for a relaxed structure of KHfNi3.

Output
* total DFT energy (no corrections): -3.947 eV/atom
* ΔE_f: 1.732 eV/atom

Geometry as CIF:
```
data_KHfNi3
_cell_length_a 4.4785
_cell_length_b 4.4785
_cell_length_c 4.4785
_cell_angle_alpha 90.00
_cell_angle_beta 90.00
_cell_angle_gamma 90.00
_symmetry_space_group_name_H-M 'P m -3 m'
_symmetry_Int_Tables_number 221
_symmetry_space_group_name_Hall '-P 4 2 3'
loop_
_atom_site_label
_atom_site_type_symbol
_atom_site_fract_x
_atom_site_fract_y
_atom_site_fract_z
K1 K 0.0000 0.0000 0.0000
Hf1 Hf 0.5000 0.5000 0.5000
Ni1 Ni 0.0000 0.0000 0.5000
```



Record 2
A plane-wave DFT calculation with PBE was carried out for a relaxed structure of KHfNi3.

Output
* total DFT energy (no corrections): -4.796 eV/atom
* ΔE_f: 0.883 eV/atom

Geometry as CIF:
```
data_KHfNi3
_cell_length_a 4.8180
_cell_length_b 4.8180
_cell_length_c 4.8180
_cell_angle_alpha 90.00
_cell_angle_beta 90.00
_cell_angle_gamma 90.00
_symmetry_space_group_name_H-M 'P m -3 m'
_symmetry_Int_Tables_number 221
_symmetry_space_group_name_Hall '-P 4 2 3'
loop_
_atom_site_label
_atom_site_type_symbol
_atom_site_fract_x
_atom_site_fract_y
_atom_site_fract_z
K1 K 0.0000 0.0000 0.0000
Hf1 Hf 0.5000 0.5000 0.5000
Ni1 Ni 0.0000 0.5000 0.5000
```



Record 3
A plane-wave DFT calculation with PBE was carried out for a relaxed structure of KHfNi2.

Output
* total DFT energy (no corrections): -5.018 eV/atom
* ΔE_f: 0.635 eV/atom

Geometry as CIF:
```
data_KHfNi2
_cell_length_a 6.6229
_cell_length_b 6.6229
_cell_length_c 6.6229
_cell_angle_alpha 90.00
_cell_angle_beta 90.00
_cell_angle_gamma 90.00
_symmetry_space_group_name_H-M 'F m -3 m'
_symmetry_Int_Tables_number 225
_symmetry_space_group_name_Hall '-F 4 2 3'
loop_
_atom_site_label
_atom_site_type_symbol
_atom_site_fract_x
_atom_site_fract_y
_atom_site_fract_z
K1 K 0.0000 0.0000 0.0000
Hf1 Hf 0.0000 0.0000 0.5000
Ni1 Ni 0.2500 0.2500 0.2500
```



Record 4
A plane-wave DFT calculation with PBE was carried out for a relaxed structure of KHfNi.

Output
* total DFT energy (no corrections): -3.628 eV/atom
* ΔE_f: 1.983 eV/atom

Geometry as CIF:
```
data_KHfNi
_cell_length_a 6.5093
_cell_length_b 6.5093
_cell_length_c 6.5093
_cell_angle_alpha 90.00
_cell_angle_beta 90.00
_cell_angle_gamma 90.00
_symmetry_space_group_name_H-M 'F -4 3 m'
_symmetry_Int_Tables_number 216
_symmetry_space_group_name_Hall 'F -4 2 3'
loop_
_atom_site_label
_atom_site_type_symbol
_atom_site_fract_x
_atom_site_fract_y
_atom_site_fract_z
K1 K 0.0000 0.0000 0.0000
Hf1 Hf 0.2500 0.2500 0.7500
Ni1 Ni 0.2500 0.2500 0.2500
```



Record 5
A plane-wave DFT calculation with PBE was carried out for a relaxed structure of KHfNiPt2.

Output
* total DFT energy (no corrections): -3.509 eV/atom
* ΔE_f: 2.273 eV/atom

Geometry as CIF:
```
data_KHfNiPt2
_cell_length_a 4.8447
_cell_length_b 4.8447
_cell_length_c 4.6929
_cell_angle_alpha 90.00
_cell_angle_beta 90.00
_cell_angle_gamma 90.00
_symmetry_space_group_name_H-M 'P 4/m m m'
_symmetry_Int_Tables_number 123
_symmetry_space_group_name_Hall '-P 4 2'
loop_
_atom_site_label
_atom_site_type_symbol
_atom_site_fract_x
_atom_site_fract_y
_atom_site_fract_z
K1 K 0.0000 0.0000 0.0000
Hf1 Hf 0.0000 0.0000 0.5000
Ni1 Ni 0.5000 0.5000 0.5000
Pt1 Pt 0.0000 0.5000 0.0000
```



Record 6
A plane-wave DFT calculation with PBE was carried out for a relaxed structure of K2Hf2NiS6.

Output
* total DFT energy (no corrections): -6.058 eV/atom

Geometry as CIF:
```
data_K2Hf2NiS6
_cell_length_a 6.3412
_cell_length_b 10.9677
_cell_length_c 7.8414
_cell_angle_alpha 90.00
_cell_angle_beta 105.73
_cell_angle_gamma 90.00
_symmetry_space_group_name_H-M 'C 1 2/m 1'
_symmetry_Int_Tables_number 12
loop_
_symmetry_equiv_pos_as_xyz
'x,y,z'
'-x,-y,-z'
'-x,y,-z'
'x,-y,z'
'x+1/2,y+1/2,z'
'-x+1/2,-y+1/2,-z'
'-x+1/2,y+1/2,-z'
'x+1/2,-y+1/2,z'
loop_
_atom_site_label
_atom_site_type_symbol
_atom_site_fract_x
_atom_site_fract_y
_atom_site_fract_z
K1 K 0.0000 0.1669 0.0000
Hf1 Hf 0.0000 0.3328 0.5000
Ni1 Ni 0.0000 0.0000 0.5000
S1 S 0.2274 0.1633 0.6868
S2 S 0.2356 0.5000 0.6849
```



Record 7
A plane-wave DFT calculation with PBE was carried out for a relaxed structure of K3Hf2NiS6.

Output
* total DFT energy (no corrections): -5.717 eV/atom

Geometry as CIF:
```
data_K3Hf2NiS6
_cell_length_a 6.5255
_cell_length_b 11.3315
_cell_length_c 7.5926
_cell_angle_alpha 90.00
_cell_angle_beta 106.48
_cell_angle_gamma 90.00
_symmetry_space_group_name_H-M 'C 1 2/m 1'
_symmetry_Int_Tables_number 12
loop_
_symmetry_equiv_pos_as_xyz
'x,y,z'
'-x,-y,-z'
'-x,y,-z'
'x,-y,z'
'x+1/2,y+1/2,z'
'-x+1/2,-y+1/2,-z'
'-x+1/2,y+1/2,-z'
'x+1/2,-y+1/2,z'
loop_
_atom_site_label
_atom_site_type_symbol
_atom_site_fract_x
_atom_site_fract_y
_atom_site_fract_z
K1 K 0.0000 0.0000 0.0000
K2 K 0.0000 0.3371 0.0000
Hf1 Hf 0.0000 0.1674 0.5000
Ni1 Ni 0.0000 0.5000 0.5000
S1 S 0.2276 0.0000 0.6882
S2 S 0.2330 0.3309 0.6917
```



Record 8
A plane-wave DFT calculation with PBE was carried out for a relaxed structure of KHfNi2S.

Output
* total DFT energy (no corrections): -5.159 eV/atom

Geometry as CIF:
```
data_KHfNi2S
_cell_length_a 4.8301
_cell_length_b 4.8301
_cell_length_c 4.9890
_cell_angle_alpha 90.00
_cell_angle_beta 90.00
_cell_angle_gamma 90.00
_symmetry_space_group_name_H-M 'P 4/m m m'
_symmetry_Int_Tables_number 123
_symmetry_space_group_name_Hall '-P 4 2'
loop_
_atom_site_label
_atom_site_type_symbol
_atom_site_fract_x
_atom_site_fract_y
_atom_site_fract_z
K1 K 0.0000 0.0000 0.0000
Hf1 Hf 0.5000 0.5000 0.5000
Ni1 Ni 0.0000 0.5000 0.5000
S1 S 0.5000 0.5000 0.0000
```